CaSbTe | PBE | relaxed

Cell lengths 5.1853, 5.1853, 3.9771 Å; angles 90.00, 90.00, 120.00 degrees
Last column: nearest neighbours and their distance in Å.
Space group P3m1 (No. 156)
Unique sites:
Ca 0.0000 0.0000 0.0000 (multiplicity 1)  3 Te 3.16, 3 Sb 3.35
Sb 0.6667 0.3333 0.3762 (multiplicity 1)  3 Te 3.34, 3 Ca 3.35
Te 0.3333 0.6667 0.7496 (multiplicity 1)  3 Ca 3.16, 3 Sb 3.34

Results
ΔE_f (raw): -387 meV per atom